18
Lattice="4.357 -1.948 0.000 4.357 1.948 0.000 -0.130 0.000 30.330" Properties=species:S:1:pos:R:3 comment="GePd8 (PBE, relaxed)" energy_ev_per_atom=-5.183 space_group="C2/m (12)" pbc="T T T"
Ge 0.428 0.000 7.902
Ge 8.155 0.000 22.428
Pd 0.378 0.000 16.522
Pd 1.221 0.000 19.244
Pd 1.297 0.000 10.206
Pd 2.116 0.000 12.927
Pd 2.113 0.000 22.154
Pd 2.993 0.000 15.630
Pd 3.867 0.000 9.173
Pd 3.848 0.000 18.341
Pd 4.735 0.000 11.989
Pd 4.716 0.000 21.157
Pd 5.590 0.000 14.701
Pd 6.471 0.000 8.176
Pd 6.467 0.000 17.403
Pd 7.286 0.000 20.124
Pd 7.362 0.000 11.087
Pd 8.205 0.000 13.808

***

3
Lattice="0.000 3.198 3.198 3.198 0.000 3.198 3.198 3.198 0.000" Properties=species:S:1:pos:R:3 comment="NaPuOs (PBE, relaxed)" magmom_total_mub_per_fu=4.530 polymorph_energy_ev_per_fu=0.482 space_group="F-43m (216)" pbc="T T T"
Na 0.000 0.000 0.000
Pu 1.599 1.599 1.599
Os 4.797 4.797 4.797

***

11
Lattice="-1.992 1.992 9.742 1.992 -1.992 9.742 1.992 1.992 -9.742" Properties=species:S:1:pos:R:3 comment="Nd3W2N6 (PBE, relaxed)" magmom_total_mub_per_fu=0.000 energy_ev_per_atom=-9.247 space_group="I4/mmm (139)" pbc="T T T"
Nd 0.000 0.000 0.000
Nd 0.000 0.000 3.544
Nd 0.000 0.000 15.940
W 0.000 0.000 7.865
W 0.000 0.000 11.619
N 1.992 0.000 1.696
N 0.000 0.000 5.898
N 1.992 0.000 8.046
N 0.000 1.992 1.696
N 0.000 0.000 13.586
N 0.000 1.992 8.046

***

8
Lattice="3.256 0.000 0.000 -1.628 2.819 0.000 0.000 0.000 12.984" Properties=species:S:1:pos:R:3 comment="Zr4CoNiN2 (PBE, relaxed)" magmom_total_mub_per_fu=0.071 polymorph_energy_ev_per_fu=0.000 space_group="P-6m2 (187)" pbc="T T T"
Zr 0.000 0.000 1.893
Zr 0.000 0.000 11.091
Zr 1.628 0.940 4.578
Zr 1.628 0.940 8.406
Co 1.628 0.940 0.000
Ni 0.000 0.000 6.492
N 0.000 1.880 3.244
N 0.000 1.880 9.740

***

5
Lattice="-2.164 2.164 7.503 2.164 -2.164 7.503 2.164 2.164 -7.503" Properties=species:S:1:pos:R:3 comment="Zr2AlTe2 (PBE, relaxed)" magmom_total_mub_per_fu=0.198 polymorph_energy_ev_per_fu=0.000 space_group="I4/mmm (139)" pbc="T T T"
Zr 2.164 0.000 3.751
Zr 0.000 2.164 3.751
Al 0.000 0.000 0.000
Te 0.000 0.000 5.758
Te 0.000 0.000 9.247

***

7
Lattice="5.339 -1.982 0.000 5.339 1.982 0.000 -4.350 0.000 5.293" Properties=species:S:1:pos:R:3 comment="SmGdFe2Si2C (PBE, relaxed)" magmom_total_mub_per_fu=0.005 energy_ev_per_atom=-7.236 space_group="Cm (8)" pbc="T T T"
Sm 0.000 0.000 0.000
Gd -1.304 0.000 3.131
Fe 2.966 0.000 1.089
Fe 6.416 0.000 2.064
Si 1.711 0.000 3.025
Si 7.668 0.000 0.116
C 4.687 0.000 1.592